Entry from the Alexandria database: crystalline AlIn2Pb at its relaxed geometry (GGA-PBE).

Cell lengths 3.4468, 3.4468, 8.6452 Å; angles 90.00, 90.00, 90.00 degrees
Element x y z (fractional)
1 Pb 0.5000 0.5000 0.2500
2 Al 0.5000 0.5000 0.7500
3 In 0.0000 0.0000 0.9664
4 In 0.0000 0.0000 0.5336

## Properties
The total energy is -3.123 eV per atom. The magnetic moment is 0.0 μB per formula unit. The polymorph energy (0 for the lowest one) is 17 meV/atom. For the formation energy from the elements, the calculation gives 0.44 eV per formula unit.


Entry from the Alexandria database: crystalline AlInPb3 at its relaxed geometry (GGA-PBE).

Cell lengths 5.5012, 5.5012, 5.5012 Å; angles 90.00, 90.00, 90.00 degrees
Element x y z (fractional)
1 Pb 0.0000 0.5000 0.0000
2 Pb 0.0000 0.0000 0.5000
3 Pb 0.5000 0.0000 0.0000
4 Al 0.0000 0.0000 0.0000
5 In 0.5000 0.5000 0.5000

## Properties
The total energy is -3.142 eV per atom. The magnetic moment is 0.0 μB per formula unit. The polymorph energy (0 for the lowest one) is 0 meV/atom. For the formation energy from the elements, the calculation gives 1.90 eV per formula unit.


Entry from the Alexandria database: crystalline Al2InPb at its relaxed geometry (GGA-PBE).

Cell lengths 5.7554, 5.7554, 5.7554 Å; angles 134.57, 134.57, 66.21 degrees
Element x y z (fractional)
1 Pb 0.7500 0.2500 0.5000
2 Al 0.0000 0.0000 0.0000
3 Al 0.2500 0.7500 0.5000
4 In 0.5000 0.5000 0.0000

## Properties
The total energy is -3.234 eV per atom. The magnetic moment is 0.0 μB per formula unit. The polymorph energy (0 for the lowest one) is 104 meV/atom. For the formation energy from the elements, the calculation gives 0.99 eV per formula unit.


Which value of formation energy from the elements does entry 1 give?
0.44 eV per formula unit


Among the records above, which one has the highest polymorph energy (0 for the lowest one)?
Al2InPb


What is the formula in the second record?
AlInPb3